DFT (GGA-PBE) results for a relaxed MnAg2OsCl crystal.

```
MnAg2OsCl
1.0
5.047 0.000 0.000
0.000 5.047 0.000
0.000 0.000 4.436
Mn Ag Os Cl
1 2 1 1
direct
0.000 0.000 0.000
0.000 0.500 0.000
0.500 0.000 0.000
0.000 0.000 0.500
0.500 0.500 0.500
```

Summary:
Uncorrected energy, eV/atom: -4.28
Uncorrected formation energy, meV per atom: 1310
Symmetry: No. 123